Material: SiBAsRhS
Method: DFT, PBE
State: optimized geometry

```
data_SiBAsRhS
_chemical_formula_sum 'Si1 B1 As1 Rh1 S1'
_space_group_name_H-M_alt 'P 1'
_space_group_IT_number 1
_cell_length_a 4.841
_cell_length_b 4.841
_cell_length_c 5.456
_cell_angle_alpha 107.80
_cell_angle_beta 107.80
_cell_angle_gamma 41.09
loop_
_space_group_symop_operation_xyz
'x,y,z'
loop_
_atom_site_label
_atom_site_type_symbol
_atom_site_fract_x
_atom_site_fract_y
_atom_site_fract_z
Si1 Si 0.000 0.000 0.000
B1 B 0.621 0.621 0.974
As1 As 0.838 0.838 0.281
Rh1 Rh 0.385 0.385 0.637
S1 S 0.656 0.656 0.657
```

Uncorrected formation energy (eV/atom): 0.00
Offset from the most stable computed form (eV/f.u.): 1.01
Final energy (eV/atom): -5.645
SG: Cm


Material: NaHoSc2Se4
Method: DFT, PBE
State: optimized geometry

```
data_NaHoSc2Se4
_chemical_formula_sum 'Na1 Ho1 Sc2 Se4'
_space_group_name_H-M_alt 'P 1'
_space_group_IT_number 1
_cell_length_a 6.881
_cell_length_b 3.942
_cell_length_c 6.960
_cell_angle_alpha 90.00
_cell_angle_beta 108.77
_cell_angle_gamma 90.00
loop_
_space_group_symop_operation_xyz
'x,y,z'
loop_
_atom_site_label
_atom_site_type_symbol
_atom_site_fract_x
_atom_site_fract_y
_atom_site_fract_z
Na1 Na 0.000 0.000 0.000
Ho1 Ho 0.500 0.500 0.000
Sc1 Sc 0.000 0.500 0.500
Sc2 Sc 0.500 0.000 0.500
Se1 Se 0.246 0.000 0.738
Se2 Se 0.258 0.500 0.267
Se3 Se 0.742 0.500 0.733
Se4 Se 0.754 0.000 0.262
```

Uncorrected formation energy (eV/atom): -1.63
Final energy (eV/atom): -5.695
SG: P2/m


Material: B2RhCl
Method: DFT, PBE
State: optimized geometry

```
data_B2RhCl
_chemical_formula_sum 'B4 Rh2 Cl2'
_space_group_name_H-M_alt 'P 1'
_space_group_IT_number 1
_cell_length_a 6.029
_cell_length_b 6.029
_cell_length_c 6.029
_cell_angle_alpha 130.39
_cell_angle_beta 130.39
_cell_angle_gamma 72.78
loop_
_space_group_symop_operation_xyz
'x,y,z'
loop_
_atom_site_label
_atom_site_type_symbol
_atom_site_fract_x
_atom_site_fract_y
_atom_site_fract_z
B1 B 0.061 0.625 0.936
B2 B 0.375 0.311 0.436
B3 B 0.689 0.125 0.064
B4 B 0.875 0.939 0.564
Rh1 Rh 0.000 0.000 0.000
Rh2 Rh 0.750 0.250 0.500
Cl1 Cl 0.250 0.750 0.500
Cl2 Cl 0.500 0.500 0.000
```

Uncorrected formation energy (eV/atom): 0.68
Offset from the most stable computed form (eV/f.u.): 0.00
Final energy (eV/atom): -4.960
SG: I-42d


Material: Li3InIr
Method: DFT, PBE
State: optimized geometry

```
data_Li3InIr
_chemical_formula_sum 'Li3 In1 Ir1'
_space_group_name_H-M_alt 'P 1'
_space_group_IT_number 1
_cell_length_a 4.668
_cell_length_b 4.668
_cell_length_c 4.668
_cell_angle_alpha 90.00
_cell_angle_beta 90.00
_cell_angle_gamma 90.00
loop_
_space_group_symop_operation_xyz
'x,y,z'
loop_
_atom_site_label
_atom_site_type_symbol
_atom_site_fract_x
_atom_site_fract_y
_atom_site_fract_z
Li1 Li 0.000 0.000 0.500
Li2 Li 0.000 0.500 0.000
Li3 Li 0.500 0.000 0.000
In1 In 0.500 0.500 0.500
Ir1 Ir 0.000 0.000 0.000
```

ΔE_f (kJ/mol of atoms): 28.90
Offset from the most stable computed form (eV/f.u.): 2.00
Final energy (eV/atom): -3.169
SG: Pm-3m


Number 1: magnetization 0.00 μB per cell. Number 2: magnetization 0.00 μB per cell. Number 3: magnetization 0.00 μB per cell. Number 4: magnetization 0.00 μB per cell.